No. 1
Compound: SrLi2Au
Source: the Alexandria database
Functional: PBE
Structure: relaxed

Cell: 6.0064 7.9649 16.5052 Å, 90.00 90.00 90.00°
Fractional positions:
Sr1 0.4724 0.2500 0.1370
Sr2 0.9724 0.7500 0.3630
Sr3 0.5276 0.7500 0.8630
Sr4 0.0276 0.2500 0.6370
Sr5 0.7720 0.2500 0.3929
Sr6 0.2720 0.7500 0.1071
Sr7 0.2280 0.7500 0.6071
Sr8 0.7280 0.2500 0.8929
Li1 0.9675 0.0594 0.2087
Li2 0.4675 0.9406 0.2913
Li3 0.0325 0.5594 0.7913
Li4 0.5325 0.4406 0.7087
Li5 0.0325 0.9406 0.7913
Li6 0.5325 0.0594 0.7087
Li7 0.9675 0.4406 0.2087
Li8 0.4675 0.5594 0.2913
Li9 0.7975 0.5636 0.0458
Li10 0.2975 0.4364 0.4542
Li11 0.2025 0.0636 0.9542
Li12 0.7025 0.9364 0.5458
Li13 0.2025 0.4364 0.9542
Li14 0.7025 0.5636 0.5458
Li15 0.7975 0.9364 0.0458
Li16 0.2975 0.0636 0.4542
Au1 0.2533 0.2500 0.3133
Au2 0.7533 0.7500 0.1867
Au3 0.7467 0.7500 0.6867
Au4 0.2467 0.2500 0.8133
Au5 0.9758 0.2500 0.0679
Au6 0.4758 0.7500 0.4321
Au7 0.0242 0.7500 0.9321
Au8 0.5242 0.2500 0.5679

Properties
The polymorph energy (0 for the lowest one) is 0.0 meV/atom. For the spin magnetization, the calculation gives 0.000 μB/atom. The calculation puts the formation energy from the elements at -41 kJ/mol of atoms.

***

No. 2
Compound: BeSiTe
Source: the Alexandria database
Functional: PBE
Structure: relaxed

Cell: 11.9690 3.9539 5.6179 Å, 90.00 90.00 90.00°
Fractional positions:
Be1 0.6568 0.0000 0.1178
Be2 0.3432 0.0000 0.1178
Be3 0.1568 0.5000 0.6178
Be4 0.8432 0.5000 0.6178
Si1 0.0000 0.0000 0.0656
Si2 0.5000 0.5000 0.5656
Si3 0.0000 0.5000 0.8338
Si4 0.5000 0.0000 0.3338
Te1 0.8296 0.0000 0.3598
Te2 0.1704 0.0000 0.3598
Te3 0.3296 0.5000 0.8598
Te4 0.6704 0.5000 0.8598

Properties
The polymorph energy (0 for the lowest one) is 0.0 meV/atom. The uncorrected formation energy comes out at -0.0491 eV per atom. For the spin magnetization, the calculation gives 0.000 μB/atom.

***

No. 3
Compound: MgSi2Cl
Source: the Alexandria database
Functional: PBE
Structure: relaxed

Cell: 3.5242 3.5856 6.0614 Å, 90.00 90.00 90.00°
Fractional positions:
Cl1 0.5000 0.0000 0.5000
Mg1 0.0000 0.5000 0.5000
Si1 0.0000 0.0000 0.0000
Si2 0.5000 0.5000 0.0000

Properties
The polymorph energy (0 for the lowest one) is 408.7 meV/atom. The uncorrected formation energy comes out at -0.0724 eV per atom. For the spin magnetization, the calculation gives 0.000 μB/atom.

***

No. 4
Compound: Pm2InRu
Source: the Alexandria database
Functional: PBE
Structure: relaxed

Cell: 3.9147 3.9147 10.2791 Å, 79.02 79.02 60.00°
Fractional positions:
Ru1 0.5000 0.5000 0.5000
In1 0.0000 0.0000 0.0000
Pm1 0.1134 0.1134 0.6597
Pm2 0.8866 0.8866 0.3403

Properties
The polymorph energy (0 for the lowest one) is 391.8 meV/atom. For the spin magnetization, the calculation gives 0.000 μB/atom. The calculation puts the formation energy from the elements at 5 kJ/mol of atoms.